# 1
YMg3As, single point on PBEsol structure, DFT meta-GGA SCAN; magnetization = 0.0 Bohr magnetons per cell; space-group type = Pm-3m, No. 221; ΔH_f (0 K) = 1382.1 meV/atom; final energy = -11.2088 eV/atom
1.0
5.668 0.000 0.000
0.000 5.668 0.000
0.000 0.000 5.668
Y Mg As
1 3 1
direct
0.000 0.000 0.000
0.000 0.000 0.500
0.000 0.500 0.000
0.500 0.000 0.000
0.500 0.500 0.500

# 2
YMgAs2, single point on PBEsol structure, DFT meta-GGA SCAN; magnetization = 0.6 Bohr magnetons per cell; space-group type = Pmm2, No. 25; ΔH_f (0 K) = -970.6 meV/atom; final energy = -19.2700 eV/atom
1.0
4.001 0.000 0.000
0.000 5.690 0.000
0.000 0.000 4.007
Y Mg As
1 1 2
direct
0.000 0.000 0.000
0.500 0.500 0.501
0.000 0.500 0.002
0.500 0.000 0.500

# 3
YMg2As, single point on PBEsol structure, DFT meta-GGA SCAN; magnetization = 0.6 Bohr magnetons per cell; space-group type = P4/mmm, No. 123; ΔH_f (0 K) = -256.7 meV/atom; final energy = -14.7519 eV/atom
1.0
3.451 0.000 0.000
0.000 3.451 0.000
0.000 0.000 7.588
Y Mg As
1 2 1
direct
0.000 0.000 0.000
0.500 0.500 0.302
0.500 0.500 0.698
0.000 0.000 0.500

# 4
YMg2As, single point on PBEsol structure, DFT meta-GGA SCAN; magnetization = 2.1 Bohr magnetons per cell; space-group type = F-43m, No. 216; ΔH_f (0 K) = -241.2 meV/atom; final energy = -14.7365 eV/atom
1.0
7.093 0.000 0.000
0.000 7.093 0.000
0.000 0.000 7.093
Y Mg As
4 8 4
direct
0.000 0.000 0.000
0.000 0.500 0.500
0.500 0.000 0.500
0.500 0.500 0.000
0.000 0.000 0.500
0.000 0.500 0.000
0.250 0.250 0.750
0.250 0.750 0.250
0.500 0.000 0.000
0.500 0.500 0.500
0.750 0.250 0.250
0.750 0.750 0.750
0.250 0.250 0.250
0.250 0.750 0.750
0.750 0.250 0.750
0.750 0.750 0.250

# 5
YMgAs2, single point on PBEsol structure, DFT meta-GGA SCAN; magnetization = 0.0 Bohr magnetons per cell; space-group type = P4/mmm, No. 123; ΔH_f (0 K) = -742.7 meV/atom; final energy = -19.0422 eV/atom
1.0
3.625 0.000 0.000
0.000 3.625 0.000
0.000 0.000 6.243
Y Mg As
1 1 2
direct
0.000 0.000 0.000
0.000 0.000 0.500
0.500 0.500 0.252
0.500 0.500 0.748

# 6
Y2MgAs, single point on PBEsol structure, DFT meta-GGA SCAN; magnetization = 0.0 Bohr magnetons per cell; space-group type = Amm2, No. 38; ΔH_f (0 K) = -795.4 meV/atom; final energy = -21.0080 eV/atom; energy relative to the lowest polymorph listed for this composition = 0.0 meV per atom
1.0
4.096 0.000 0.000
0.000 4.195 0.000
0.000 0.000 11.192
Y Mg As
4 2 2
direct
0.000 0.000 0.000
0.000 0.500 0.500
0.500 0.000 0.292
0.500 0.500 0.792
0.500 0.000 0.574
0.500 0.500 0.074
0.000 0.000 0.732
0.000 0.500 0.232

# 7
Y2MgAs, single point on PBEsol structure, DFT meta-GGA SCAN; magnetization = 0.0 Bohr magnetons per cell; space-group type = R-3m, No. 166; ΔH_f (0 K) = -792.6 meV/atom; final energy = -21.0052 eV/atom; energy relative to the lowest polymorph listed for this composition = 2.8 meV per atom
1.0
3.898 0.000 0.000
-1.949 3.376 0.000
0.000 0.000 24.886
Y Mg As
6 3 3
direct
0.000 0.000 0.233
0.000 0.000 0.767
0.333 0.667 0.434
0.333 0.667 0.900
0.667 0.333 0.100
0.667 0.333 0.566
0.000 0.000 0.000
0.333 0.667 0.667
0.667 0.333 0.333
0.000 0.000 0.500
0.333 0.667 0.167
0.667 0.333 0.833

# 8
YMgAs2, single point on PBEsol structure, DFT meta-GGA SCAN; magnetization = 0.0 Bohr magnetons per cell; space-group type = R-3m, No. 166; ΔH_f (0 K) = -979.4 meV/atom; final energy = -19.2789 eV/atom
1.0
4.079 0.000 0.000
-2.039 3.532 0.000
0.000 0.000 18.635
Y Mg As
3 3 6
direct
0.000 0.000 0.000
0.333 0.667 0.667
0.667 0.333 0.333
0.000 0.000 0.500
0.333 0.667 0.167
0.667 0.333 0.833
0.000 0.000 0.247
0.000 0.000 0.753
0.333 0.667 0.420
0.333 0.667 0.914
0.667 0.333 0.086
0.667 0.333 0.580